one | 68
Lattice="7.342 0.000 0.000 0.000 13.441 0.000 -7.071 0.000 9.895" Properties=species:S:1:pos:R:3 comment="GGA-PBE BiP4O12, optimized geometry" sg="P2_1/c, No. 14" n_ef_per_ev_fu=10.13 volume_a3_per_atom=14.4 pbc="T T T"
Bi 0.127 3.018 0.208
Bi -3.408 3.702 5.155
Bi 3.679 9.738 4.740
Bi 0.143 10.423 9.688
P -1.686 1.241 2.894
P -5.222 5.480 7.842
P -4.534 8.381 7.938
P -0.998 11.780 2.990
P 1.011 8.260 2.661
P -2.525 11.901 7.609
P -1.664 8.073 7.389
P 1.871 12.089 2.441
P -1.601 1.352 7.454
P 1.935 5.368 2.506
P 2.795 1.539 2.286
P -0.740 5.181 7.234
P 1.269 1.661 6.905
P 4.804 5.060 1.957
P 5.493 7.961 2.053
P 1.957 12.200 7.001
O -5.882 1.733 8.400
O -2.346 4.988 3.452
O -0.538 1.481 1.952
O -4.074 5.239 6.899
O -5.063 6.963 8.476
O -1.528 13.198 3.528
O -1.897 2.146 4.068
O -5.432 4.574 9.016
O -5.133 9.462 8.782
O -1.597 10.699 3.834
O -0.505 7.807 2.944
O -4.040 12.354 7.892
O 1.079 9.251 1.532
O -2.456 10.910 6.480
O -2.747 2.159 6.903
O 0.789 4.562 1.955
O -1.954 8.209 5.913
O 1.582 11.952 0.965
O 2.190 1.980 0.985
O -1.345 4.740 5.933
O -2.963 8.344 8.295
O 0.573 11.818 3.348
O 1.697 6.914 2.129
O -1.839 13.248 7.077
O 2.109 0.193 2.819
O -1.426 6.527 7.766
O -0.302 1.623 6.547
O 3.233 5.097 1.600
O 1.616 8.701 3.962
O -1.920 11.460 8.910
O -1.311 1.489 8.930
O 2.224 5.232 3.983
O -0.518 8.879 7.940
O 3.017 11.282 2.992
O 2.727 2.531 3.416
O -0.809 4.189 8.363
O 4.311 1.087 2.004
O 0.775 5.634 6.951
O 1.868 2.742 6.061
O 5.403 3.978 1.114
O 5.703 8.866 0.879
O 2.168 11.295 5.827
O 1.798 0.243 6.367
O 5.334 6.478 1.420
O 4.344 8.202 2.996
O 0.809 11.959 7.944
O 2.617 8.453 6.443
O 6.152 11.708 1.495



two | 34
Lattice="7.355 0.000 0.000 0.000 8.562 0.000 -0.228 0.000 8.015" Properties=species:S:1:pos:R:3 comment="GGA-PBE BiP4O12, optimized geometry" sg="P2_1, No. 4" n_ef_per_ev_fu=7.58 volume_a3_per_atom=14.8 pbc="T T T"
Bi 1.759 0.000 2.012
Bi 5.369 4.281 6.003
P -0.089 1.248 4.983
P 0.679 3.562 0.803
P 2.727 2.103 4.802
P 3.157 5.322 0.784
P 3.971 1.041 7.230
P 4.400 6.383 3.213
P 6.448 7.842 7.212
P 7.217 5.529 3.032
O -0.087 0.295 6.284
O -0.077 3.726 7.421
O 0.113 0.396 3.764
O 0.631 2.176 1.379
O 1.087 6.405 2.992
O 1.192 2.152 5.304
O 2.212 4.038 0.865
O 2.361 6.589 0.582
O 2.789 1.650 3.375
O 3.122 0.833 0.240
O 3.329 3.432 5.145
O 3.338 0.944 5.752
O 3.790 5.225 2.263
O 3.799 7.713 2.870
O 4.006 5.114 7.775
O 4.338 5.931 4.639
O 4.767 2.308 7.433
O 4.916 8.318 7.150
O 5.936 6.433 2.711
O 6.041 2.124 5.023
O 6.497 6.456 6.636
O 7.014 4.677 4.251
O 7.205 8.007 0.594
O 7.215 4.576 1.731



Bottom line: two, by a margin of 6 meV per atom.



one | 4
Lattice="0.000 3.247 3.247 3.247 0.000 3.247 3.247 3.247 0.000" Properties=species:S:1:pos:R:3 comment="GGA-PBE BiP2O, optimized geometry" sg="Fm-3m, No. 225" n_ef_per_ev_fu=2.35 volume_a3_per_atom=17.1 pbc="T T T"
Bi 0.000 0.000 0.000
P 1.623 1.623 1.623
P 4.870 4.870 4.870
O 3.247 3.247 3.247



two | 8
Lattice="-2.523 2.523 6.062 2.523 -2.523 6.062 2.523 2.523 -6.062" Properties=species:S:1:pos:R:3 comment="GGA-PBE BiP2O, optimized geometry" sg="I-42d, No. 122" n_ef_per_ev_fu=1.75 volume_a3_per_atom=19.3 pbc="T T T"
Bi 0.000 0.000 0.000
Bi 0.000 2.523 3.031
P 1.261 -0.006 4.546
P 2.517 1.261 1.515
P 1.261 2.529 -1.515
P 0.006 1.261 7.577
O 2.523 0.000 3.031
O 0.000 0.000 6.062



Bottom line: two, by a margin of 620 meV per atom.



one | 20
Lattice="6.112 -3.614 0.000 6.112 3.614 0.000 -0.013 0.000 6.478" Properties=species:S:1:pos:R:3 comment="GGA-PBE Bi3P3O14, optimized geometry" sg="C2, No. 5" volume_a3_per_atom=14.3 pbc="T T T"
Bi 0.000 0.000 0.000
Bi 3.220 -1.517 2.206
Bi 8.992 -1.517 4.272
P 6.106 3.406 3.239
P 3.389 -1.478 5.389
P 8.823 -1.478 1.090
O 5.176 2.548 4.137
O 3.138 0.946 2.019
O 7.035 2.548 2.341
O 3.647 -0.328 4.380
O 2.304 -1.137 6.439
O 5.102 -0.090 1.460
O 7.110 -0.090 5.018
O 9.074 0.946 4.459
O 4.655 -1.850 6.212
O 8.565 -0.328 2.098
O 5.313 -2.951 2.215
O 7.557 -1.850 0.266
O 9.907 -1.137 0.039
O 6.899 -2.951 4.263



two | 20
Lattice="6.199 -3.572 0.000 6.199 3.572 0.000 -0.056 0.000 6.486" Properties=species:S:1:pos:R:3 comment="GGA-PBE Bi3P3O14, optimized geometry" sg="C2, No. 5" n_ef_per_ev_fu=0.00 volume_a3_per_atom=14.4 pbc="T T T"
Bi 0.000 0.000 0.000
Bi 3.117 1.675 4.318
Bi 9.224 1.675 2.168
P 3.399 1.541 1.091
P 8.942 1.541 5.396
P 6.171 -3.311 3.243
O 2.286 1.275 0.039
O 5.399 2.961 4.278
O 4.632 1.955 0.242
O 6.942 2.961 2.208
O 3.696 0.288 1.968
O 7.709 1.955 6.244
O 3.158 -0.934 4.370
O 5.986 -0.367 5.890
O 6.355 -0.367 0.596
O 10.055 1.275 6.448
O 8.645 0.288 4.518
O 5.218 -2.431 2.386
O 9.184 -0.934 2.117
O 7.123 -2.431 4.101



Bottom line: two, by a margin of 252 meV per atom.



one | 9
Lattice="5.982 0.000 0.000 -2.991 5.181 0.000 0.000 0.000 5.612" Properties=species:S:1:pos:R:3 comment="GGA-PBE BiP2O6, optimized geometry" sg="P-3m1, No. 164" n_ef_per_ev_fu=3.88 volume_a3_per_atom=19.3 pbc="T T T"
Bi 0.000 0.000 0.000
P 0.000 3.454 4.563
P 2.991 1.727 1.049
O 0.000 1.956 4.289
O -1.298 4.203 4.289
O 1.694 0.978 1.323
O 1.298 4.203 4.289
O 4.289 0.978 1.323
O 2.991 3.225 1.323



two | 18
Lattice="5.654 -4.689 0.000 5.654 4.689 0.000 -0.003 0.000 5.078" Properties=species:S:1:pos:R:3 comment="GGA-PBE BiP2O6, optimized geometry" sg="C2/c, No. 15" volume_a3_per_atom=15.0 pbc="T T T"
Bi 5.652 3.805 3.808
Bi 5.654 -3.805 1.269
P 3.387 0.796 3.806
P 3.388 -0.796 1.267
P 7.918 0.796 3.811
P 7.919 -0.796 1.272
O 1.889 0.711 3.805
O 4.001 2.166 3.815
O 1.890 -0.711 1.266
O 4.012 0.010 2.531
O 4.011 -0.010 5.070
O 7.304 2.166 3.801
O 4.002 -2.166 1.276
O 7.296 0.010 0.008
O 7.294 -0.010 2.547
O 9.416 0.711 3.812
O 7.305 -2.166 1.262
O 9.417 -0.711 1.273



Bottom line: two, by a margin of 335 meV per atom.